Material: GePO2
Method: DFT, SCAN
State: PBEsol geometry

Computed properties:
Crystal system ... cubic
Energy relative to the elements, uncorrected ... -0.334 eV per atom
Space-group type ... Fd-3m
Calculated total energy ... -86.6 eV per cell
Calculated density ... 3.84 g/cm3

The structure in POSCAR format:
```
GePO2
1.0
5.495 0.000 0.000
2.747 4.759 0.000
2.747 1.586 4.487
Ge O P
2 4 2
direct
0.250 0.250 0.250 Ge
0.000 0.000 0.000 Ge
0.625 0.625 0.625 O
0.625 0.625 0.125 O
0.625 0.125 0.625 O
0.125 0.625 0.625 O
0.750 0.750 0.750 P
0.500 0.500 0.500 P
```